A relaxed BaNbGa2 crystal. Source: Alexandria via LeMat-Bulk, functional PBE.

Calculated values
DFT formation energy ... 0.3379 eV per atom

a = 7.3254 Å, b = 7.3254 Å, c = 7.3254 Å
α = 90.00°, β = 90.00°, γ = 90.00°
Last column: nearest neighbours and their distance in Å.
Space group Fm-3m (No. 225)
Inequivalent atoms, fractional coordinates:
1 Ba 0.0000 0.0000 0.0000 [4 per cell]  8 Ga 3.17
2 Nb 0.0000 0.0000 0.5000 [4 per cell]  8 Ga 3.17
3 Ga 0.2500 0.2500 0.2500 [8 per cell]  4 Ba 3.17, 4 Nb 3.17

---

A relaxed Al2VPt crystal. Source: Alexandria via LeMat-Bulk, functional PBE.

Calculated values
DFT formation energy ... -0.1131 eV per atom

a = 6.9762 Å, b = 6.9762 Å, c = 5.4223 Å
α = 90.00°, β = 90.00°, γ = 90.00°
Last column: nearest neighbours and their distance in Å.
Space group I-42d (No. 122)
Inequivalent atoms, fractional coordinates:
1 Al 0.2271 0.2500 0.1250 [8 per cell]  2 Pt 2.45, 2 V 2.67, 2 Al 2.73
2 V 0.0000 0.0000 0.5000 [4 per cell]  4 Al 2.67, 2 Pt 2.71
3 Pt 0.0000 0.0000 0.0000 [4 per cell]  4 Al 2.45, 2 V 2.71

---

A relaxed RbBa3C crystal. Source: Alexandria via LeMat-Bulk, functional PBE.

Calculated values
DFT formation energy ... 2.0892 eV per atom

a = 6.4573 Å, b = 6.4573 Å, c = 6.4573 Å
α = 90.00°, β = 90.00°, γ = 90.00°
Last column: nearest neighbours and their distance in Å.
Space group Pm-3m (No. 221)
Inequivalent atoms, fractional coordinates:
1 Rb 0.0000 0.0000 0.0000 [1 per cell]  6 Ba 3.23
2 Ba 0.0000 0.0000 0.5000 [3 per cell]  2 Rb 3.23
3 C 0.5000 0.5000 0.5000 [1 per cell]  12 Ba 4.57

---

A relaxed Mn4ZnCr crystal. Source: Alexandria via LeMat-Bulk, functional PBE.

Calculated values
DFT formation energy ... 0.1739 eV per atom

a = 6.6046 Å, b = 6.6046 Å, c = 6.6046 Å
α = 90.00°, β = 90.00°, γ = 90.00°
Last column: nearest neighbours and their distance in Å.
Space group F-43m (No. 216)
Inequivalent atoms, fractional coordinates:
1 Mn 0.1244 0.1244 0.1244 [16 per cell]  6 Mn 2.32-2.35
2 Zn 0.2500 0.2500 0.7500 [4 per cell]  12 Mn 2.74, 4 Cr 2.86
3 Cr 0.0000 0.0000 0.5000 [4 per cell]  12 Mn 2.74, 4 Zn 2.86

---

A relaxed Nd3CrN5 crystal. Source: Alexandria via LeMat-Bulk, functional PBE.

Calculated values
Raw formation energy ... -10.165 eV/f.u.

a = 6.7515 Å, b = 6.7515 Å, c = 11.1491 Å
α = 90.00°, β = 90.00°, γ = 90.00°
Last column: nearest neighbours and their distance in Å.
Space group I4/mcm (No. 140)
Inequivalent atoms, fractional coordinates:
1 Nd 0.0000 0.0000 0.2500 [4 per cell]  10 N 2.79-2.80
2 Nd 0.1741 0.3259 0.0000 [8 per cell]  4 N 2.44-2.49
3 Cr 0.0000 0.5000 0.2500 [4 per cell]  4 N 1.74
4 N 0.0000 0.0000 0.0000 [4 per cell]  6 Nd 2.49-2.79
5 N 0.1448 0.3552 0.3450 [16 per cell]  1 Cr 1.74

---

A relaxed LiY2NbCo crystal. Source: Alexandria via LeMat-Bulk, functional PBE.

Calculated values
DFT formation energy ... 1.2123 eV per atom

a = 5.2968 Å, b = 5.2968 Å, c = 4.7260 Å
α = 90.00°, β = 90.00°, γ = 90.00°
Last column: nearest neighbours and their distance in Å.
Space group P4/mmm (No. 123)
Inequivalent atoms, fractional coordinates:
1 Li 0.0000 0.0000 0.0000 [1 per cell]  2 Nb 2.36
2 Y 0.0000 0.5000 0.5000 [2 per cell]  2 Nb 2.65
3 Nb 0.0000 0.0000 0.5000 [1 per cell]  2 Li 2.36
4 Co 0.5000 0.5000 0.0000 [1 per cell]  8 Y 3.55, 4 Li 3.75

---

A relaxed KGa2PbS crystal. Source: Alexandria via LeMat-Bulk, functional PBE.

Calculated values
Raw formation energy ... 0.625 eV/f.u.

a = 5.5737 Å, b = 5.5737 Å, c = 5.6604 Å
α = 90.00°, β = 90.00°, γ = 90.00°
Last column: nearest neighbours and their distance in Å.
Space group P4/mmm (No. 123)
Inequivalent atoms, fractional coordinates:
1 K 0.0000 0.0000 0.0000 [1 per cell]  4 S 3.94, 8 Ga 3.97
2 Ga 0.0000 0.5000 0.5000 [2 per cell]  2 Pb 2.79
3 Pb 0.5000 0.5000 0.5000 [1 per cell]  4 Ga 2.79, 2 S 2.83
4 S 0.5000 0.5000 0.0000 [1 per cell]  2 Pb 2.83

---

A relaxed LaNbHg2 crystal. Source: Alexandria via LeMat-Bulk, functional PBE.

Calculated values
DFT formation energy ... 0.1202 eV per atom

a = 7.3780 Å, b = 7.3780 Å, c = 7.3780 Å
α = 90.00°, β = 90.00°, γ = 90.00°
Last column: nearest neighbours and their distance in Å.
Space group Fm-3m (No. 225)
Inequivalent atoms, fractional coordinates:
1 La 0.0000 0.0000 0.0000 [4 per cell]  8 Hg 3.19
2 Nb 0.0000 0.0000 0.5000 [4 per cell]  8 Hg 3.19
3 Hg 0.2500 0.2500 0.2500 [8 per cell]  4 Nb 3.19, 4 La 3.19

---

A relaxed CaLa3Pm2Te6 crystal. Source: Alexandria via LeMat-Bulk, functional PBE.

Calculated values
Raw formation energy ... -18.431 eV/f.u.

a = 19.7330 Å, b = 4.5183 Å, c = 9.0881 Å
α = 90.00°, β = 103.18°, γ = 90.00°
Last column: nearest neighbours and their distance in Å.
Space group C2/m (No. 12)
Inequivalent atoms, fractional coordinates:
1 Ca 0.0000 0.0000 0.0000 [2 per cell]  6 Te 3.14-3.15
2 La 0.0000 0.0000 0.5000 [2 per cell]  6 Te 3.20-3.25
3 La 0.1681 0.5000 0.8308 [4 per cell]  6 Te 3.21-3.28
4 Pm 0.1702 0.5000 0.3401 [4 per cell]  6 Te 3.14-3.23
5 Te 0.0024 0.5000 0.2434 [4 per cell]  2 Ca 3.15, 1 Pm 3.23, 3 La 3.25-3.28
6 Te 0.1632 0.0000 0.0867 [4 per cell]  1 Ca 3.14, 2 Pm 3.21, 3 La 3.24-3.26
7 Te 0.1664 0.0000 0.5794 [4 per cell]  3 Pm 3.14-3.15, 3 La 3.20-3.21

---

A relaxed Mg4Si3 crystal. Source: Alexandria via LeMat-Bulk, functional PBE.

Calculated values
Raw formation energy ... 0.291 eV/f.u.

a = 6.1377 Å, b = 6.6709 Å, c = 7.5579 Å
α = 105.49°, β = 100.02°, γ = 101.58°
Last column: nearest neighbours and their distance in Å.
Space group P1 (No. 1)
Inequivalent atoms, fractional coordinates:
1 Mg 0.0000 0.0000 0.0000 [1 per cell]  4 Si 2.72-2.94
2 Mg 0.0239 0.6807 0.5583 [1 per cell]  3 Si 2.68-2.77
3 Mg 0.0909 0.6022 0.1483 [1 per cell]  4 Si 2.70-2.80
4 Mg 0.2226 0.3519 0.7737 [1 per cell]  5 Si 2.77-3.10
5 Mg 0.3615 0.0428 0.4403 [1 per cell]  4 Si 2.68-2.85
6 Mg 0.5219 0.6621 0.5901 [1 per cell]  4 Si 2.73-2.83, 1 Mg 3.05
7 Mg 0.5623 0.3298 0.2034 [1 per cell]  3 Si 2.65-2.92
8 Mg 0.8319 0.9910 0.3758 [1 per cell]  4 Si 2.76-2.91, 2 Mg 3.08
9 Si 0.1558 0.3339 0.3533 [1 per cell]  7 Mg 2.68-2.92
10 Si 0.3763 0.9968 0.8065 [1 per cell]  2 Si 2.42-2.43, 1 Mg 2.70
11 Si 0.4395 0.8942 0.0915 [1 per cell]  2 Si 2.37-2.42
12 Si 0.6434 0.6260 0.0324 [1 per cell]  2 Si 2.37-2.40, 1 Mg 2.65
13 Si 0.7396 0.1092 0.7286 [1 per cell]  2 Si 2.42-2.43
14 Si 0.8202 0.4937 0.7809 [1 per cell]  2 Si 2.40-2.42, 1 Mg 2.68

---

A relaxed ScBe2Cr crystal. Source: Alexandria via LeMat-Bulk, functional PBE.

Calculated values
DFT formation energy ... 0.3324 eV per atom

a = 3.5774 Å, b = 3.5774 Å, c = 7.8795 Å
α = 90.00°, β = 90.00°, γ = 90.00°
Last column: nearest neighbours and their distance in Å.
Space group I-4m2 (No. 119)
Inequivalent atoms, fractional coordinates:
1 Sc 0.0000 0.0000 0.0000 [2 per cell]  8 Be 2.53-2.66, 4 Cr 2.66
2 Be 0.0000 0.0000 0.5000 [2 per cell]  4 Sc 2.53, 4 Cr 2.66, 4 Be 2.66
3 Be 0.0000 0.5000 0.7500 [2 per cell]  4 Cr 2.53, 4 Be 2.66, 4 Sc 2.66
4 Cr 0.0000 0.5000 0.2500 [2 per cell]  8 Be 2.53-2.66, 4 Sc 2.66

---

A relaxed Al2HgBr crystal. Source: Alexandria via LeMat-Bulk, functional PBE.

Calculated values
Raw formation energy ... 0.124 eV/f.u.

a = 3.3787 Å, b = 5.5761 Å, c = 4.8090 Å
α = 90.00°, β = 90.00°, γ = 90.00°
Last column: nearest neighbours and their distance in Å.
Space group Pmm2 (No. 25)
Inequivalent atoms, fractional coordinates:
1 Al 0.0000 0.0000 0.0000 [1 per cell]  2 Hg 2.79, 4 Br 2.90-2.98
2 Al 0.5000 0.5000 0.4938 [1 per cell]  2 Br 2.79, 4 Hg 2.94
3 Hg 0.0000 0.5000 0.9932 [1 per cell]  6 Al 2.79-2.94
4 Br 0.5000 0.0000 0.4896 [1 per cell]  6 Al 2.79-2.98

---

Copy entry 12 word for word.
A relaxed Al2HgBr crystal. Source: Alexandria via LeMat-Bulk, functional PBE.

Calculated values
Raw formation energy ... 0.124 eV/f.u.

a = 3.3787 Å, b = 5.5761 Å, c = 4.8090 Å
α = 90.00°, β = 90.00°, γ = 90.00°
Last column: nearest neighbours and their distance in Å.
Space group Pmm2 (No. 25)
Inequivalent atoms, fractional coordinates:
1 Al 0.0000 0.0000 0.0000 [1 per cell]  2 Hg 2.79, 4 Br 2.90-2.98
2 Al 0.5000 0.5000 0.4938 [1 per cell]  2 Br 2.79, 4 Hg 2.94
3 Hg 0.0000 0.5000 0.9932 [1 per cell]  6 Al 2.79-2.94
4 Br 0.5000 0.0000 0.4896 [1 per cell]  6 Al 2.79-2.98